# 1
NiSnPtW: relaxed, PBE.

Cell lengths 4.4822, 4.4822, 4.4822 Å; angles 60.00, 60.00, 60.00 degrees
Closest atoms and distances in Å follow each position.
Positions (direct):
Ni (0.0000, 0.0000, 0.0000)  4 Sn 2.74, 4 W 2.74
Sn (0.7500, 0.7500, 0.7500)  4 Ni 2.74, 4 Pt 2.74
Pt (0.5000, 0.5000, 0.5000)  4 W 2.74, 4 Sn 2.74
W (0.2500, 0.2500, 0.2500)  4 Ni 2.74, 4 Pt 2.74

Output
Its crystal system is cubic. Its total magnetization is 0.88 μB/f.u. Its symmetry is No. 216. The energy comes out at -6.91 eV per atom.

---

# 2
TmHIBr: relaxed, PBE.

Cell lengths 3.8598, 3.8598, 15.8797 Å; angles 90.00, 90.00, 120.00 degrees
Closest atoms and distances in Å follow each position.
Positions (direct):
Tm (0.0000, 0.0000, 0.2447)  3 H 2.23
Tm (0.0000, 0.0000, 0.7553)  3 H 2.23
H (0.3333, 0.6667, 0.2476)  3 Tm 2.23
H (0.6667, 0.3333, 0.7524)  3 Tm 2.23
I (0.3333, 0.6667, 0.6213)  3 H 3.05, 3 Tm 3.08
I (0.6667, 0.3333, 0.3787)  3 H 3.05, 3 Tm 3.08
Br (0.3333, 0.6667, 0.8726)  3 Tm 2.90, 3 H 2.93
Br (0.6667, 0.3333, 0.1274)  3 Tm 2.90, 3 H 2.93

Output
Its crystal system is trigonal. Its total magnetization is 0.00 μB/f.u. Its symmetry is No. 164. The energy comes out at -4.08 eV per atom.

---

# 3
YLuMgPt: relaxed, PBE.

Cell lengths 5.0288, 5.0288, 5.0288 Å; angles 60.00, 60.00, 60.00 degrees
Closest atoms and distances in Å follow each position.
Positions (direct):
Y (0.0000, 0.0000, 0.0000)  4 Pt 3.08, 4 Mg 3.08
Lu (0.5000, 0.5000, 0.5000)  4 Pt 3.08, 4 Mg 3.08
Mg (0.2500, 0.2500, 0.2500)  4 Lu 3.08, 4 Y 3.08
Pt (0.7500, 0.7500, 0.7500)  4 Lu 3.08, 4 Y 3.08

Output
Its crystal system is cubic. Its total magnetization is 0.00 μB/f.u. Its symmetry is No. 216. For the energy above the lowest structure with this stoichiometry, the calculation gives 0.0 meV per atom. The energy comes out at -5.27 eV per atom.

---

# 4
ThSe2: relaxed, PBE.

Cell lengths 8.9990, 8.9990, 8.9990 Å; angles 60.00, 60.00, 60.00 degrees
Closest atoms and distances in Å follow each position.
Positions (direct):
Th (0.1250, 0.1250, 0.1250)  4 Se 2.76
Th (0.8750, 0.8750, 0.8750)  4 Se 2.76
Se (0.0000, 0.0000, 0.0000)  2 Th 2.76
Se (0.0000, 0.0000, 0.5000)  2 Th 2.76
Se (0.0000, 0.5000, 0.0000)  2 Th 2.76
Se (0.5000, 0.0000, 0.0000)  2 Th 2.76

Output
Its crystal system is cubic. Its total magnetization is 0.00 μB/f.u. Its symmetry is No. 227. The energy comes out at -5.99 eV per atom.

---

# 5
Dy2TmCo2B2C3: relaxed, PBE.

Cell lengths 10.5069, 10.5069, 10.5069 Å; angles 160.67, 160.67, 27.47 degrees
Closest atoms and distances in Å follow each position.
Positions (direct):
Dy (0.1233, 0.1233, 0.0000)  5 C 2.50-2.52
Dy (0.8767, 0.8767, 0.0000)  5 C 2.50-2.52
Tm (0.5000, 0.5000, 0.0000)  6 C 2.45-2.49
Co (0.2500, 0.7500, 0.5000)  4 B 2.10
Co (0.7500, 0.2500, 0.5000)  4 B 2.10
B (0.3062, 0.3062, 0.0000)  1 C 1.51
B (0.6938, 0.6938, 0.0000)  1 C 1.51
C (0.0000, 0.0000, 0.0000)  4 Tm 2.49, 2 Dy 2.52
C (0.3801, 0.3801, 0.0000)  1 B 1.51
C (0.6199, 0.6199, 0.0000)  1 B 1.51

Output
Its crystal system is tetragonal. Its total magnetization is 1.36 μB/f.u. Its symmetry is No. 139. The energy comes out at -7.23 eV per atom.

---

# 6
MoW3C: relaxed, PBE.

Cell lengths 4.1632, 4.1632, 4.1632 Å; angles 90.00, 90.00, 90.00 degrees
Closest atoms and distances in Å follow each position.
Positions (direct):
Mo (0.0000, 0.0000, 0.0000)  12 W 2.94
W (0.0000, 0.5000, 0.5000)  2 C 2.08
W (0.5000, 0.0000, 0.5000)  2 C 2.08
W (0.5000, 0.5000, 0.0000)  2 C 2.08
C (0.5000, 0.5000, 0.5000)  6 W 2.08

Output
Its crystal system is cubic. Its total magnetization is 0.00 μB/f.u. Its symmetry is No. 221. The energy comes out at -11.55 eV per atom.

---

# 7
HfFeAgGe: relaxed, PBE.

Cell lengths 4.5129, 4.5129, 4.5129 Å; angles 60.00, 60.00, 60.00 degrees
Closest atoms and distances in Å follow each position.
Positions (direct):
Hf (0.0000, 0.0000, 0.0000)  4 Fe 2.76, 4 Ag 2.76
Fe (0.7500, 0.7500, 0.7500)  4 Ge 2.76, 4 Hf 2.76
Ag (0.2500, 0.2500, 0.2500)  4 Hf 2.76, 4 Ge 2.76
Ge (0.5000, 0.5000, 0.5000)  4 Fe 2.76, 4 Ag 2.76

Output
Its crystal system is cubic. Its total magnetization is 1.39 μB/f.u. Its symmetry is No. 216. For the energy above the lowest structure with this stoichiometry, the calculation gives 30.9 meV per atom. The energy comes out at -6.36 eV per atom.

---

# 8
KSmPt4: relaxed, PBE.

Cell lengths 5.5059, 5.5059, 5.5059 Å; angles 60.00, 60.00, 60.00 degrees
Closest atoms and distances in Å follow each position.
Positions (direct):
K (0.0000, 0.0000, 0.0000)  12 Pt 3.23, 4 Sm 3.37
Sm (0.2500, 0.2500, 0.2500)  12 Pt 3.23, 4 K 3.37
Pt (0.1250, 0.6250, 0.6250)  6 Pt 2.75
Pt (0.6250, 0.1250, 0.6250)  6 Pt 2.75
Pt (0.6250, 0.6250, 0.1250)  6 Pt 2.75
Pt (0.6250, 0.6250, 0.6250)  6 Pt 2.75

Output
Its crystal system is cubic. Its total magnetization is 0.01 μB/f.u. Its symmetry is No. 216. The energy comes out at -5.68 eV per atom.

---

# 9
Er3Mg3TlZn2: relaxed, PBE.

Cell lengths 7.3062, 7.3062, 4.5275 Å; angles 90.00, 90.00, 120.00 degrees
Closest atoms and distances in Å follow each position.
Positions (direct):
Er (0.0000, 0.4294, 0.0000)  4 Zn 3.14, 1 Tl 3.14, 2 Mg 3.25
Er (0.4294, 0.0000, 0.0000)  4 Zn 3.14, 1 Tl 3.14, 2 Mg 3.25
Er (0.5706, 0.5706, 0.0000)  4 Zn 3.14, 1 Tl 3.14, 2 Mg 3.25
Mg (0.0000, 0.7479, 0.5000)  2 Zn 2.78, 2 Tl 2.92
Mg (0.2521, 0.2521, 0.5000)  2 Zn 2.78, 2 Tl 2.92
Mg (0.7479, 0.0000, 0.5000)  2 Zn 2.78, 2 Tl 2.92
Tl (0.0000, 0.0000, 0.0000)  6 Mg 2.92, 3 Er 3.14
Zn (0.3333, 0.6667, 0.5000)  3 Mg 2.78
Zn (0.6667, 0.3333, 0.5000)  3 Mg 2.78

Output
Its crystal system is hexagonal. Its total magnetization is 0.01 μB/f.u. Its symmetry is No. 189. The energy comes out at -2.83 eV per atom.

---

# 10
HoErPd2Pb: relaxed, PBE.

Cell lengths 3.5764, 7.7400, 7.7400 Å; angles 31.93, 90.00, 90.00 degrees
Closest atoms and distances in Å follow each position.
Positions (direct):
Ho (0.0000, 0.0000, 0.0000)  6 Pd 2.91-3.13
Er (0.0000, 0.2720, 0.2720)  6 Pd 2.90-3.11
Pd (0.5000, 0.4432, 0.4432)  2 Pd 2.74, 1 Pb 2.87, 4 Ho 2.91
Pd (0.5000, 0.8277, 0.8277)  2 Pd 2.74, 1 Pb 2.85, 4 Er 2.90
Pb (0.5000, 0.6359, 0.6359)  2 Pd 2.85-2.87

Output
Its crystal system is orthorhombic. Its total magnetization is 0.01 μB/f.u. Its symmetry is No. 38. The energy comes out at -5.45 eV per atom.

---

# 11
Ba2NbCd: relaxed, PBE.

Cell lengths 5.6794, 5.6794, 5.6794 Å; angles 60.00, 60.00, 60.00 degrees
Closest atoms and distances in Å follow each position.
Positions (direct):
Ba (0.0000, 0.0000, 0.0000)  4 Cd 3.48, 4 Ba 3.48
Ba (0.2500, 0.2500, 0.2500)  4 Ba 3.48, 4 Nb 3.48
Nb (0.5000, 0.5000, 0.5000)  4 Ba 3.48, 4 Cd 3.48
Cd (0.7500, 0.7500, 0.7500)  4 Ba 3.48, 4 Nb 3.48

Output
Its crystal system is cubic. Its total magnetization is 3.33 μB/f.u. Its symmetry is No. 216. The energy comes out at -3.07 eV per atom.

---

# 12
PmBePt: relaxed, PBE.

Cell lengths 4.6753, 4.6753, 4.6753 Å; angles 60.00, 60.00, 60.00 degrees
Closest atoms and distances in Å follow each position.
Positions (direct):
Pm (0.0000, 0.0000, 0.0000)  4 Be 2.86, 4 Pt 2.86
Be (0.7500, 0.7500, 0.7500)  4 Pm 2.86
Pt (0.2500, 0.2500, 0.2500)  4 Pm 2.86

Output
Its crystal system is cubic. Its total magnetization is 0.00 μB/f.u. Its symmetry is No. 216. For the energy above the lowest structure with this stoichiometry, the calculation gives 599.0 meV per atom. The energy comes out at -4.58 eV per atom.

---

# 13
Tl2AgHg: relaxed, PBE.

Cell lengths 5.2635, 5.2635, 5.2635 Å; angles 60.00, 60.00, 60.00 degrees
Closest atoms and distances in Å follow each position.
Positions (direct):
Tl (0.0000, 0.0000, 0.0000)  4 Tl 3.22, 4 Hg 3.22
Tl (0.2500, 0.2500, 0.2500)  4 Ag 3.22, 4 Tl 3.22
Ag (0.5000, 0.5000, 0.5000)  4 Hg 3.22, 4 Tl 3.22
Hg (0.7500, 0.7500, 0.7500)  4 Tl 3.22, 4 Ag 3.22

Output
Its crystal system is cubic. Its symmetry is No. 216. The energy comes out at -1.84 eV per atom.

---

# 14
Zr8As2C3N3: relaxed, PBE.

Cell lengths 3.3750, 3.3750, 23.3470 Å; angles 90.00, 90.00, 120.00 degrees
Closest atoms and distances in Å follow each position.
Positions (direct):
Zr (0.0000, 0.0000, 0.1641)  3 N 2.31
Zr (0.0000, 0.0000, 0.3313)  3 C 2.29
Zr (0.0000, 0.0000, 0.6687)  3 C 2.29
Zr (0.0000, 0.0000, 0.8359)  3 N 2.31
Zr (0.3333, 0.6667, 0.5562)  6 C 2.35-2.42
Zr (0.3333, 0.6667, 0.9428)  6 N 2.32-2.36
Zr (0.6667, 0.3333, 0.0572)  6 N 2.32-2.36
Zr (0.6667, 0.3333, 0.4438)  6 C 2.35-2.42
As (0.3333, 0.6667, 0.7531)  6 Zr 2.75-2.77
As (0.6667, 0.3333, 0.2469)  6 Zr 2.75-2.77
C (0.0000, 0.0000, 0.5000)  6 Zr 2.35
C (0.3333, 0.6667, 0.3825)  6 Zr 2.29-2.42
C (0.6667, 0.3333, 0.6175)  6 Zr 2.29-2.42
N (0.0000, 0.0000, 0.0000)  6 Zr 2.36
N (0.3333, 0.6667, 0.1109)  6 Zr 2.31-2.32
N (0.6667, 0.3333, 0.8891)  6 Zr 2.31-2.32

Output
Its crystal system is trigonal. Its total magnetization is 0.00 μB/f.u. Its symmetry is No. 164. The energy comes out at -9.34 eV per atom.

---

# 15
U3Al2Au3: relaxed, PBE.

Cell lengths 7.1719, 7.1719, 7.1719 Å; angles 46.36, 46.36, 46.36 degrees
Closest atoms and distances in Å follow each position.
Positions (direct):
U (0.0000, 0.0000, 0.0000)  6 Al 3.44, 6 Au 3.59, 6 U 3.72
U (0.4267, 0.4267, 0.4267)  1 U 2.81, 1 Al 2.90
U (0.5733, 0.5733, 0.5733)  1 U 2.81, 1 Al 2.90
Al (0.2754, 0.2754, 0.2754)  3 Au 2.65, 1 U 2.90
Al (0.7246, 0.7246, 0.7246)  3 Au 2.65, 1 U 2.90
Au (0.0000, 0.0000, 0.5000)  2 Al 2.65, 4 Au 2.82
Au (0.0000, 0.5000, 0.0000)  2 Al 2.65, 4 Au 2.82
Au (0.5000, 0.0000, 0.0000)  2 Al 2.65, 4 Au 2.82

Output
Its crystal system is trigonal. Its total magnetization is 8.95 μB/f.u. Its symmetry is No. 166. The energy comes out at -6.30 eV per atom.

---

# 16
CsBaTc: relaxed, PBE.

Cell lengths 5.5971, 5.5971, 5.5971 Å; angles 60.00, 60.00, 60.00 degrees
Closest atoms and distances in Å follow each position.
Positions (direct):
Cs (0.0000, 0.0000, 0.0000)  4 Ba 3.43, 4 Tc 3.43
Ba (0.7500, 0.7500, 0.7500)  4 Cs 3.43
Tc (0.2500, 0.2500, 0.2500)  4 Cs 3.43

Output
Its crystal system is cubic. Its total magnetization is 2.28 μB/f.u. Its symmetry is No. 216. For the energy above the lowest structure with this stoichiometry, the calculation gives 256.8 meV per atom. The energy comes out at -2.72 eV per atom.

---

# 17
YZnCoIr: relaxed, PBE.

Cell lengths 4.5850, 4.5850, 4.5850 Å; angles 60.00, 60.00, 60.00 degrees
Closest atoms and distances in Å follow each position.
Positions (direct):
Y (0.0000, 0.0000, 0.0000)  4 Ir 2.81, 4 Zn 2.81
Zn (0.2500, 0.2500, 0.2500)  4 Co 2.81, 4 Y 2.81
Co (0.5000, 0.5000, 0.5000)  4 Ir 2.81, 4 Zn 2.81
Ir (0.7500, 0.7500, 0.7500)  4 Co 2.81, 4 Y 2.81

Output
Its crystal system is cubic. As for the calculated formation energy: -19 meV/atom. Its total magnetization is 2.09 μB/f.u. Its symmetry is No. 216. For the energy above the lowest structure with this stoichiometry, the calculation gives 162.3 meV per atom. The energy comes out at -5.94 eV per atom.

---

# 18
Er2Be2SiGe: relaxed, PBE.

Cell lengths 3.8742, 3.8742, 7.9679 Å; angles 90.00, 90.00, 120.00 degrees
Closest atoms and distances in Å follow each position.
Positions (direct):
Er (0.0000, 0.0000, 0.2473)  3 Si 2.98, 6 Be 2.98-3.01, 3 Ge 3.01
Er (0.0000, 0.0000, 0.7527)  3 Si 2.98, 6 Be 2.98-3.01, 3 Ge 3.01
Be (0.3333, 0.6667, 0.0000)  3 Si 2.24
Be (0.6667, 0.3333, 0.5000)  3 Ge 2.24
Si (0.6667, 0.3333, 0.0000)  3 Be 2.24
Ge (0.3333, 0.6667, 0.5000)  3 Be 2.24

Output
Its crystal system is hexagonal. Its total magnetization is 0.00 μB/f.u. Its symmetry is No. 187. The energy comes out at -5.10 eV per atom.

---

# 19
ZnTcTe: relaxed, PBE.

Cell lengths 4.3942, 4.3942, 4.3942 Å; angles 60.00, 60.00, 60.00 degrees
Closest atoms and distances in Å follow each position.
Positions (direct):
Zn (0.0000, 0.0000, 0.0000)  4 Tc 2.69
Tc (0.7500, 0.7500, 0.7500)  4 Te 2.69, 4 Zn 2.69
Te (0.5000, 0.5000, 0.5000)  4 Tc 2.69

Output
Its crystal system is cubic. Its total magnetization is 0.02 μB/f.u. Its symmetry is No. 216. For the energy above the lowest structure with this stoichiometry, the calculation gives 0.0 meV per atom. The energy comes out at -4.62 eV per atom.

---

# 20
BaNbCuPt: relaxed, PBE.

Cell lengths 4.7955, 4.7955, 4.7955 Å; angles 60.00, 60.00, 60.00 degrees
Closest atoms and distances in Å follow each position.
Positions (direct):
Ba (0.0000, 0.0000, 0.0000)  4 Nb 2.94, 4 Cu 2.94
Nb (0.7500, 0.7500, 0.7500)  4 Ba 2.94, 4 Pt 2.94
Cu (0.2500, 0.2500, 0.2500)  4 Pt 2.94, 4 Ba 2.94
Pt (0.5000, 0.5000, 0.5000)  4 Nb 2.94, 4 Cu 2.94

Output
Its crystal system is cubic. Its total magnetization is 0.00 μB/f.u. Its symmetry is No. 216. For the energy above the lowest structure with this stoichiometry, the calculation gives 0.0 meV per atom. The energy comes out at -5.03 eV per atom.